Entry 1:
# Ti2MnAl5Rh2, optimized geometry, DFT PBE
# E_tot = -6.38 eV per atom
# Calculated volume = 155.94 Å³/f.u.
# Density of states at the Fermi level = 0.488 states/eV/atom
# ΔE_f = -0.542 eV/atom
data_Ti2MnAl5Rh2
_chemical_formula_sum 'Ti4 Mn2 Al10 Rh4'
_space_group_name_H-M_alt 'P 4/m b m'
_space_group_IT_number 127
_space_group_name_Hall '-P 4 2ab'
_cell_length_a 8.814
_cell_length_b 8.814
_cell_length_c 4.015
_cell_angle_alpha 90.00
_cell_angle_beta 90.00
_cell_angle_gamma 90.00
loop_
_atom_site_label
_atom_site_type_symbol
_atom_site_fract_x
_atom_site_fract_y
_atom_site_fract_z
Ti1 Ti 0.175 0.325 0.000
Mn1 Mn 0.000 0.000 0.000
Al1 Al 0.000 0.500 0.500
Al2 Al 0.069 0.798 0.500
Rh1 Rh 0.122 0.622 0.000



Entry 2:
# Ti3MnAl3Rh2, optimized geometry, DFT PBE
# E_tot = -7.19 eV per atom
# Calculated volume = 133.25 Å³/f.u.
# Density of states at the Fermi level = 0.585 states/eV/atom
# ΔE_f = -0.655 eV/atom
data_Ti3MnAl3Rh2
_chemical_formula_sum 'Ti3 Mn1 Al3 Rh2'
_space_group_name_H-M_alt 'P -6 2 m'
_space_group_IT_number 189
_space_group_name_Hall 'P -6 -2'
_cell_length_a 7.2119
_cell_length_b 7.2119
_cell_length_c 2.9583
_cell_angle_alpha 90.00
_cell_angle_beta 90.00
_cell_angle_gamma 120.00
loop_
_atom_site_label
_atom_site_type_symbol
_atom_site_fract_x
_atom_site_fract_y
_atom_site_fract_z
Ti1 Ti 0.0000 0.2670 0.0000
Mn1 Mn 0.0000 0.0000 0.5000
Al1 Al 0.0000 0.6206 0.5000
Rh1 Rh 0.3333 0.6667 0.0000



Q: The lowest density of states at the Fermi level belongs to which entry?
A: Ti2MnAl5Rh2



Q: Among the records above, which one has the highest E_tot?
A: Ti2MnAl5Rh2



Q: What is the formula in the first record?
A: Ti2MnAl5Rh2